Entry 1:
Here is crystalline Ca2AlRh at its relaxed geometry from Alexandria via LeMat-Bulk. Energies are from PBE-GGA.

- Formation energy from the elements: -0.42 eV/atom
- V: 95.9 Å³/f.u.

```
4
Lattice="-2.242 0.131 2.497 1.171 -2.907 1.205 5.591 4.241 4.798" Properties=species:S:1:pos:R:3 pbc="T T T"
Ca 5.242 3.976 4.498
Ca 1.280 -0.011 3.409
Rh 3.113 2.361 2.671
Al 3.273 1.500 5.119
```



Entry 2:
Here is crystalline CaAlRh2 at its relaxed geometry from Alexandria via LeMat-Bulk. Energies are from PBE-GGA.

- Formation energy from the elements: -0.35 eV/atom
- V: 67.2 Å³/f.u.

```
4
Lattice="5.318 0.013 0.000 2.545 4.669 0.000 -3.931 -2.341 2.710" Properties=species:S:1:pos:R:3 pbc="T T T"
Ca 2.659 0.006 1.355
Rh 0.000 0.000 0.000
Rh 1.272 2.335 1.355
Al 3.931 2.341 0.000
```



no.,final energy (eV/cell)
1,-16.8
2,-21.8